Entry 1:
Li2CdAg6 GGA-PBE relaxed; SG = C2/c, No. 15; formation energy from the elements = -0.9 eV/f.u.
1.0
-0.7051 -2.9179 3.9840
3.6791 -6.6669 -3.0814
7.8011 0.0568 2.5728
Li Cd Ag
4 2 12
Direct
0.4066 0.5369 0.7891
0.0934 0.2109 0.4631
0.5934 0.4631 0.2109
0.9066 0.7891 0.5369
0.2500 0.1249 0.8751
0.7500 0.8751 0.1249
0.4712 0.6758 0.4384
0.0288 0.5616 0.3242
0.5288 0.3242 0.5616
0.9712 0.4384 0.6758
0.6556 0.1025 0.3539
0.8444 0.6461 0.8975
0.3444 0.8975 0.6461
0.1556 0.3539 0.1025
0.2992 0.7478 0.0138
0.2008 0.9862 0.2522
0.7008 0.2522 0.9862
0.7992 0.0138 0.7478

---

Entry 2:
Li2Cd4Ag GGA-PBE relaxed; SG = I4/mmm, No. 139; formation energy from the elements = -0.9 eV/f.u.
1.0
7.5414 0.0000 0.0000
3.7707 4.4003 0.0004
3.7707 0.0005 4.4003
Li Cd Ag
2 4 1
Direct
0.0000 0.5000 0.5000
0.5000 0.5000 0.5000
0.4999 0.5000 0.0001
0.9999 0.0001 0.5000
0.5000 0.9999 0.5000
0.0001 0.5000 0.9999
0.0000 0.0000 0.0000

---

Entry 3:
LiCd8Ag2 GGA-PBE relaxed; SG = C2/m, No. 12; formation energy from the elements = -0.1 eV/f.u.
1.0
5.1923 0.8216 0.0000
1.5128 7.2732 0.0000
0.7564 3.6366 6.6133
Li Cd Ag
1 8 2
Direct
0.5000 0.0000 0.0000
0.8270 0.0942 0.2235
0.8270 0.3177 0.7765
0.2891 0.3956 0.0000
0.5000 0.7779 0.4442
0.5000 0.2221 0.5558
0.7109 0.6044 0.0000
0.1730 0.6823 0.2235
0.1730 0.9058 0.7765
0.0000 0.3041 0.3919
0.0000 0.6959 0.6081

---

Entry 4:
Li6CdAg3 GGA-PBE relaxed; SG = P2_1/m, No. 11; formation energy from the elements = -1.4 eV/f.u.
1.0
-0.4645 -2.7846 -0.5612
6.7062 -2.6699 7.6981
-10.1228 0.5079 5.8584
Li Cd Ag
12 2 6
Direct
0.7500 0.5002 0.6811
0.2500 0.4998 0.3189
0.7500 0.8189 0.0781
0.2500 0.1811 0.9219
0.7500 0.3567 0.1087
0.2500 0.6433 0.8913
0.7500 0.7270 0.2921
0.2500 0.2730 0.7079
0.7500 0.1339 0.4902
0.2500 0.8661 0.5098
0.7500 0.7744 0.7200
0.2500 0.2256 0.2800
0.7500 0.0367 0.7113
0.2500 0.9633 0.2887
0.7500 0.4177 0.8945
0.2500 0.5823 0.1055
0.7500 0.6308 0.5036
0.2500 0.3692 0.4964
0.7500 0.0858 0.0975
0.2500 0.9142 0.9025

---

Number 1: total magnetization 0.00 μB per formula unit, distance to the lowest polymorph of the same formula 0.00 eV/f.u., calculated total energy -2.5286 eV/atom. Number 2: total magnetization 0.00 μB per formula unit, distance to the lowest polymorph of the same formula 0.00 eV/f.u., calculated total energy -1.6021 eV/atom. Number 3: total magnetization 0.00 μB per formula unit, distance to the lowest polymorph of the same formula 0.59 eV/f.u., calculated total energy -1.3712 eV/atom. Number 4: total magnetization 0.00 μB per formula unit, distance to the lowest polymorph of the same formula 0.51 eV/f.u., calculated total energy -2.2396 eV/atom.